Record 1
VASP calculation (PBE-GGA) on a relaxed structure of La2Sm2C2I5.

spin magnetization	0.0	μB/f.u.
V	32.660	A^3/atom
uncorrected energy	-5.28	eV/atom

a = 10.3314 Å, b = 10.3314 Å, c = 8.8802 Å
α = 102.28°, β = 102.28°, γ = 22.85°
Fractional coordinates of all 11 atoms:
Sm 0.3508 0.3508 0.4208
Sm 0.6492 0.6492 0.5792
La 0.9995 0.9995 0.6919
La 0.0005 0.0005 0.3081
C 0.4647 0.4647 0.4817
C 0.5353 0.5353 0.5183
I 0.8360 0.8360 0.1502
I 0.1700 0.1700 0.3214
I 0.8300 0.8300 0.6786
I 0.5000 0.5000 0.0000
I 0.1640 0.1640 0.8498

Record 2
VASP calculation (PBE-GGA) on a relaxed structure of Sc4AlAuN2.

spin magnetization	0.1	μB/f.u.
V	15.982	A^3/atom
uncorrected energy	-7.29	eV/atom

a = 3.2186 Å, b = 3.2186 Å, c = 14.2513 Å
α = 90.00°, β = 90.00°, γ = 120.00°
Fractional coordinates of all 8 atoms:
Sc 0.0000 0.0000 0.8326
Sc 0.0000 0.0000 0.1674
Sc 0.6667 0.3333 0.3412
Sc 0.6667 0.3333 0.6588
Al 0.6667 0.3333 0.0000
N 0.3333 0.6667 0.7484
N 0.3333 0.6667 0.2516
Au 0.0000 0.0000 0.5000

Record 3
VASP calculation (PBE-GGA) on a relaxed structure of Dy3Er3NiTe2.

spin magnetization	0.9	μB/f.u.
V	26.127	A^3/atom
uncorrected energy	-5.06	eV/atom

a = 8.3756 Å, b = 8.3756 Å, c = 3.8705 Å
α = 90.00°, β = 90.00°, γ = 120.00°
Site moments in Bohr magnetons follow the coordinates.
Fractional coordinates of all 9 atoms:
Te 0.6667 0.3333 0.5000  0.00
Te 0.3333 0.6667 0.5000  0.00
Er 0.0000 0.5965 0.0000  0.10
Er 0.5965 0.0000 0.0000  0.11
Er 0.4035 0.4035 0.0000  0.12
Dy 0.0000 0.2386 0.5000  0.09
Dy 0.7614 0.7614 0.5000  0.10
Dy 0.2386 0.0000 0.5000  0.10
Ni 0.0000 0.0000 0.0000  0.03

Record 4
VASP calculation (PBE-GGA) on a relaxed structure of HfTaInNi.

spin magnetization	2.1	μB/f.u.
V	18.399	A^3/atom
uncorrected energy	-7.26	eV/atom

a = 4.7039 Å, b = 4.7039 Å, c = 4.7039 Å
α = 60.00°, β = 60.00°, γ = 60.00°
Fractional coordinates of all 4 atoms:
In 0.0000 0.0000 0.0000
Ni 0.7500 0.7500 0.7500
Hf 0.5000 0.5000 0.5000
Ta 0.2500 0.2500 0.2500

Record 5
VASP calculation (PBE-GGA) on a relaxed structure of HfScNi2.

spin magnetization	0.0	μB/f.u.
calculated formation energy	-15.4	kJ/mol of atoms
V	15.001	A^3/atom
uncorrected energy	-7.01	eV/atom

a = 4.3944 Å, b = 4.3944 Å, c = 4.3944 Å
α = 60.00°, β = 60.00°, γ = 60.00°
Fractional coordinates of all 4 atoms:
Hf 0.7500 0.7500 0.7500
Ni 0.2500 0.2500 0.2500
Ni 0.5000 0.5000 0.5000
Sc 0.0000 0.0000 0.0000

Record 6
VASP calculation (PBE-GGA) on a relaxed structure of Tb2YPd2PtPb3.

spin magnetization	0.0	μB/f.u.
V	23.113	A^3/atom
uncorrected energy	-5.56	eV/atom

a = 3.9552 Å, b = 7.7941 Å, c = 7.7941 Å
α = 120.03°, β = 90.00°, γ = 90.00°
Fractional coordinates of all 9 atoms:
Tb 0.0000 0.0000 0.6008
Tb 0.0000 0.6008 0.0000
Pd 0.5000 0.3334 0.6670
Pd 0.5000 0.6670 0.3334
Pt 0.0000 0.9999 0.9999
Pb 0.5000 0.7327 0.7327
Pb 0.5000 0.0003 0.2672
Pb 0.5000 0.2672 0.0003
Y 0.0000 0.3986 0.3986

Record 7
VASP calculation (PBE-GGA) on a relaxed structure of HoPaNO.

spin magnetization	0.0	μB/f.u.
V	17.709	A^3/atom
uncorrected energy	-8.01	eV/atom

a = 4.2505 Å, b = 4.2505 Å, c = 7.8414 Å
α = 90.00°, β = 90.00°, γ = 90.00°
Fractional coordinates of all 8 atoms:
Ho 0.0000 0.5000 0.1034
Ho 0.5000 0.0000 0.8966
O 0.0000 0.0000 0.0000
O 0.5000 0.5000 0.0000
N 0.0000 0.5000 0.6402
N 0.5000 0.0000 0.3598
Pa 0.5000 0.5000 0.5000
Pa 0.0000 0.0000 0.5000

Record 8
VASP calculation (PBE-GGA) on a relaxed structure of NdAgS2.

spin magnetization	0.0	μB/f.u.
V	22.065	A^3/atom
uncorrected energy	-5.25	eV/atom

a = 6.7933 Å, b = 7.4001 Å, c = 7.1185 Å
α = 90.00°, β = 99.42°, γ = 90.00°
Fractional coordinates of all 16 atoms:
Nd 0.6948 0.0494 0.7997
Nd 0.6948 0.4506 0.2997
Nd 0.3052 0.9506 0.2003
Nd 0.3052 0.5494 0.7003
S 0.5569 0.7329 0.0053
S 0.4431 0.2329 0.4947
S 0.9008 0.1090 0.2022
S 0.5569 0.7671 0.5053
S 0.0992 0.8910 0.7978
S 0.9008 0.3910 0.7022
S 0.0992 0.6090 0.2978
S 0.4431 0.2671 0.9947
Ag 0.9010 0.6622 0.9464
Ag 0.0990 0.3378 0.0536
Ag 0.0990 0.1622 0.5536
Ag 0.9010 0.8378 0.4464

Record 9
VASP calculation (PBE-GGA) on a relaxed structure of Tb4Pa2Ag.

spin magnetization	0.1	μB/f.u.
calculated formation energy	32.1	kJ/mol of atoms
V	28.644	A^3/atom
uncorrected energy	-5.43	eV/atom

a = 7.7530 Å, b = 7.7530 Å, c = 3.3358 Å
α = 90.00°, β = 90.00°, γ = 90.00°
Fractional coordinates of all 7 atoms:
Tb 0.7457 0.7457 0.5117
Tb 0.2543 0.2543 0.5117
Tb 0.2543 0.7457 0.4883
Tb 0.7457 0.2543 0.4883
Pa 0.5000 0.0000 0.0000
Pa 0.0000 0.5000 0.0000
Ag 0.0000 0.0000 0.0000

Record 10
VASP calculation (PBE-GGA) on a relaxed structure of ZrTaTc.

spin magnetization	0.0	μB/f.u.
calculated formation energy	17.8	kJ/mol of atoms
V	20.934	A^3/atom
uncorrected energy	-10.07	eV/atom

a = 4.4617 Å, b = 4.4617 Å, c = 4.4617 Å
α = 60.00°, β = 60.00°, γ = 60.00°
Fractional coordinates of all 3 atoms:
Ta 0.5000 0.5000 0.5000
Tc 0.2500 0.2500 0.2500
Zr 0.0000 0.0000 0.0000

Record 11
VASP calculation (PBE-GGA) on a relaxed structure of Rb2PtAuO4.

spin magnetization	1.0	μB/f.u.
V	21.378	A^3/atom
uncorrected energy	-4.71	eV/atom

a = 6.1139 Å, b = 6.4163 Å, c = 6.4163 Å
α = 42.80°, β = 90.00°, γ = 90.00°
Site moments in Bohr magnetons follow the coordinates.
Fractional coordinates of all 8 atoms:
O 0.2565 0.3905 0.3905  0.11
O 0.2455 0.6092 0.6092  0.11
O 0.7435 0.3905 0.3905  0.11
O 0.7545 0.6092 0.6092  0.11
Rb 0.0000 0.1977 0.1977  0.00
Rb 0.5000 0.8029 0.8029  0.00
Pt 0.5000 0.5031 0.5031  0.42
Au 0.0000 0.4968 0.4968  0.05

Record 12
VASP calculation (PBE-GGA) on a relaxed structure of InCoTe2AuS.

spin magnetization	0.0	μB/f.u.
V	24.453	A^3/atom
uncorrected energy	-4.00	eV/atom

a = 7.9120 Å, b = 7.9120 Å, c = 9.9541 Å
α = 90.00°, β = 90.00°, γ = 151.91°
Fractional coordinates of all 12 atoms:
S 0.9615 0.0385 0.2500
S 0.0385 0.9615 0.7500
Te 0.6065 0.3935 0.4695
Te 0.6065 0.3935 0.0305
Te 0.3935 0.6065 0.9695
Te 0.3935 0.6065 0.5305
Co 0.0000 0.0000 0.0000
Co 0.0000 0.0000 0.5000
Au 0.7059 0.2941 0.2500
Au 0.2941 0.7059 0.7500
In 0.3419 0.6581 0.2500
In 0.6581 0.3419 0.7500

Look up the spin magnetization of the third one. 0.9 μB/f.u.

What is the spin magnetization in the ninth record? 0.1 μB/f.u.